TeO3 | meta-GGA SCAN | single point on PBEsol structure

Unit cell a=5.0748 b=8.0097 c=9.6162 alpha=90.00 beta=90.00 gamma=90.00
Atoms (fractional coordinates):
O 0.2065 0.9941 0.2443
O 0.4182 0.2471 0.5674
O 0.4761 0.9280 0.4995
O 0.7065 0.0059 0.7557
O 0.1332 0.6415 0.2062
O 0.9761 0.4280 0.0005
O 0.3460 0.5776 0.4705
O 0.1499 0.1872 0.8186
O 0.6332 0.1415 0.2938
O 0.1499 0.3128 0.3186
O 0.1332 0.8585 0.7062
O 0.6499 0.6872 0.6814
O 0.4761 0.5720 0.9995
O 0.7065 0.4941 0.2557
O 0.3460 0.9224 0.9705
O 0.8460 0.4224 0.5295
O 0.9182 0.7529 0.4326
O 0.6332 0.3585 0.7938
O 0.9182 0.7471 0.9326
O 0.6499 0.8128 0.1814
O 0.4182 0.2529 0.0674
O 0.8460 0.0776 0.0295
O 0.2065 0.5059 0.7443
O 0.9761 0.0720 0.5005
Te 0.5183 0.4714 0.6255
Te 0.5183 0.0286 0.1255
Te 0.8084 0.6197 0.0899
Te 0.0183 0.5286 0.3745
Te 0.3084 0.3803 0.9101
Te 0.0183 0.9714 0.8745
Te 0.8084 0.8803 0.5899
Te 0.3084 0.1197 0.4101

Summary:
Mass density, g cm⁻³: 5.97
Uncorrected formation energy, eV per atom: -0.890
Space group: Pna2_1, No. 33
Electronic total energy, eV/atom: -14.876